A plane-wave DFT calculation with GGA-PBEsol was carried out for an optimized crystal structure of ZrSbRh2.

## Properties
Volume   16.963 Å³/atom
Density   10.25 g/cm³
Formation energy (no corrections)   -0.350 eV/atom

a = 6.474 Å, b = 6.474 Å, c = 6.474 Å
α = 90.00°, β = 90.00°, γ = 90.00°
Space group F-43m (No. 216)
One atom of each set of equivalent atoms:
Zr  0.000  0.000  0.000
Sb  0.250  0.250  0.750
Rh  0.000  0.000  0.500
Rh  0.250  0.250  0.250

A plane-wave DFT calculation with GGA-PBEsol was carried out for an optimized crystal structure of ZrSbRh2.

## Properties
Volume   17.249 Å³/atom
Density   10.08 g/cm³
Formation energy (no corrections)   -0.576 eV/atom

a = 3.313 Å, b = 3.537 Å, c = 5.887 Å
α = 90.00°, β = 90.00°, γ = 90.00°
Space group Pmmm (No. 47)
One atom of each set of equivalent atoms:
Zr  0.000  0.000  0.000
Sb  0.000  0.000  0.500
Rh  0.500  0.500  0.245

A plane-wave DFT calculation with GGA-PBEsol was carried out for an optimized crystal structure of Zr2SbRh.

## Properties
Volume   18.758 Å³/atom
Density   9.01 g/cm³
Formation energy (no corrections)   -0.625 eV/atom

a = 4.209 Å, b = 4.209 Å, c = 4.235 Å
α = 90.00°, β = 90.00°, γ = 90.00°
Space group P4/mmm (No. 123)
One atom of each set of equivalent atoms:
Zr  0.000  0.500  0.000
Sb  0.000  0.000  0.500
Rh  0.500  0.500  0.500

A plane-wave DFT calculation with GGA-PBEsol was carried out for an optimized crystal structure of Zr2SbRh.

## Properties
Volume   18.888 Å³/atom
Density   8.95 g/cm³
Formation energy (no corrections)   -0.627 eV/atom

a = 4.009 Å, b = 4.497 Å, c = 8.382 Å
α = 90.00°, β = 90.00°, γ = 90.00°
Space group Immm (No. 71)
One atom of each set of equivalent atoms:
Zr  0.000  0.000  0.239
Sb  0.000  0.500  0.000
Rh  0.000  0.500  0.500